## P
Computed, not measured: a relaxed Tb2GdAl crystal at the PBE-GGA level of DFT.

Computed properties:
volume = 109 Å³/cell

Unit cell a=5.3616 b=5.3616 c=5.3616 alpha=60.00 beta=60.00 gamma=60.00
Fractional coordinates of all 4 atoms:
Tb1 0.2500 0.2500 0.2500
Al1 0.5000 0.5000 0.5000
Tb2 0.7500 0.7500 0.7500
Gd1 0.0000 0.0000 0.0000



## Q
Computed, not measured: a relaxed Tb2GdAl crystal at the PBE-GGA level of DFT.

Computed properties:
volume = 109 Å³/cell

Unit cell a=4.7586 b=4.7907 c=4.7907 alpha=90.00 beta=90.00 gamma=90.00
Fractional coordinates of all 4 atoms:
Gd1 0.5000 0.5000 0.5000
Tb1 0.0000 0.0000 0.5000
Al1 0.5000 0.0000 0.0000
Tb2 0.0000 0.5000 0.0000



Least stable structure: P



## P
Computed, not measured: a relaxed GaTeS2 crystal at the PBE-GGA level of DFT.

Computed properties:
volume = 91 Å³/cell

Unit cell a=8.2363 b=8.2363 c=8.2363 alpha=25.42 beta=25.42 gamma=25.42
Fractional coordinates of all 4 atoms:
S1 0.8892 0.8892 0.8892
Te1 0.0000 0.0000 0.0000
S2 0.1108 0.1108 0.1108
Ga1 0.5000 0.5000 0.5000



## Q
Computed, not measured: a relaxed GaTeS2 crystal at the PBE-GGA level of DFT.

Computed properties:
volume = 200 Å³/cell

Unit cell a=6.6690 b=6.6690 c=6.5176 alpha=59.23 beta=59.23 gamma=90.00
Fractional coordinates of all 8 atoms:
S1 0.3750 0.4412 0.7500
Ga1 0.5000 0.5000 0.0000
Te1 0.0000 0.0000 0.0000
S2 0.1912 0.6250 0.2500
Ga2 0.2500 0.7500 0.5000
S3 0.8750 0.8088 0.7500
S4 0.5588 0.1250 0.2500
Te2 0.7500 0.2500 0.5000



Least stable structure: Q



## P
Computed, not measured: a relaxed GaSn3Ir crystal at the PBE-GGA level of DFT.

Computed properties:
volume = 229 Å³/cell

Unit cell a=6.7332 b=6.7332 c=6.8010 alpha=104.88 beta=122.59 gamma=101.33
Fractional coordinates of all 10 atoms:
Sn1 0.7807 0.5989 0.7640
Sn2 0.1651 0.9833 0.7640
Sn3 0.8349 0.0167 0.2360
Ga1 0.3020 0.9433 0.2453
Ga2 0.6980 0.0567 0.7547
Ir1 0.3760 0.2436 0.6196
Sn4 0.2193 0.4011 0.2360
Sn5 0.7385 0.4359 0.1744
Sn6 0.2615 0.5641 0.8256
Ir2 0.6240 0.7564 0.3804



## Q
Computed, not measured: a relaxed GaSn3Ir crystal at the PBE-GGA level of DFT.

Computed properties:
volume = 133 Å³/cell

Unit cell a=5.1090 b=5.1090 c=5.1090 alpha=90.00 beta=90.00 gamma=90.00
Fractional coordinates of all 5 atoms:
Sn1 0.0000 0.0000 0.5000
Ir1 0.5000 0.5000 0.5000
Sn2 0.5000 0.0000 0.0000
Ga1 0.0000 0.0000 0.0000
Sn3 0.0000 0.5000 0.0000



Least stable structure: Q



## P
Computed, not measured: a relaxed YReSe2Br crystal at the PBE-GGA level of DFT.

Computed properties:
volume = 164 Å³/cell

Unit cell a=5.5005 b=5.5005 c=5.4223 alpha=90.00 beta=90.00 gamma=90.00
Fractional coordinates of all 5 atoms:
Br1 0.0000 0.0000 0.5000
Y1 0.0000 0.0000 0.0000
Se1 0.5000 0.0000 0.0000
Re1 0.5000 0.5000 0.5000
Se2 0.0000 0.5000 0.0000



## Q
Computed, not measured: a relaxed YReSe2Br crystal at the PBE-GGA level of DFT.

Computed properties:
volume = 122 Å³/cell

Unit cell a=4.8977 b=4.8977 c=5.0994 alpha=90.00 beta=90.00 gamma=90.00
Fractional coordinates of all 5 atoms:
Se1 0.0000 0.5000 0.0000
Re1 0.0000 0.0000 0.0000
Br1 0.0000 0.0000 0.5000
Se2 0.5000 0.0000 0.0000
Y1 0.5000 0.5000 0.5000



Least stable structure: P